## ZrMn2SiI (PBE)

Data for ZrMn2SiI after structural relaxation.

Output
Formation energy from raw total energies in eV/atom: 0.8074
Relative energy among the computed polymorphs in meV per atom: 354.2
SG: No. 123

Cell lengths 4.467, 4.467, 5.540 Å; angles 90.00, 90.00, 90.00 degrees
Fractional coordinates of all 5 atoms:
Zr 0.000 0.000 0.000
Mn 0.000 0.500 0.500
Mn 0.500 0.000 0.500
Si 0.500 0.500 0.500
I 0.500 0.500 0.000

## SmMn3I9 (PBE)

Data for SmMn3I9 after structural relaxation.

Output
Formation energy from raw total energies in eV/atom: -0.6797
SG: No. 9

Cell lengths 11.541, 11.541, 14.750 Å; angles 124.01, 124.01, 53.56 degrees
Fractional coordinates of all 26 atoms:
Sm 0.227 0.773 0.500
Sm 0.773 0.227 0.000
Mn 0.201 0.341 0.792
Mn 0.341 0.201 0.292
Mn 0.570 0.712 0.335
Mn 0.712 0.570 0.835
Mn 0.740 0.981 0.172
Mn 0.981 0.740 0.672
I 0.014 0.505 0.919
I 0.073 0.912 0.678
I 0.116 0.163 0.081
I 0.163 0.116 0.581
I 0.225 0.471 0.449
I 0.239 0.543 0.782
I 0.326 0.697 0.307
I 0.471 0.225 0.949
I 0.505 0.014 0.419
I 0.543 0.239 0.282
I 0.562 0.835 0.977
I 0.574 0.625 0.633
I 0.625 0.574 0.133
I 0.697 0.326 0.807
I 0.793 0.918 0.798
I 0.835 0.562 0.477
I 0.912 0.073 0.178
I 0.918 0.793 0.298

## SmMn2I8 (PBE)

Data for SmMn2I8 after structural relaxation.

Output
Formation energy from raw total energies in eV/atom: -0.7105
SG: No. 12

Cell lengths 8.836, 8.836, 7.211 Å; angles 97.17, 97.17, 91.35 degrees
Fractional coordinates of all 11 atoms:
Sm 0.000 0.000 0.000
Mn 0.213 0.213 0.667
Mn 0.787 0.787 0.333
I 0.061 0.723 0.219
I 0.219 0.219 0.299
I 0.277 0.939 0.781
I 0.425 0.425 0.787
I 0.575 0.575 0.213
I 0.723 0.061 0.219
I 0.781 0.781 0.701
I 0.939 0.277 0.781

## MnSn2I (PBE)

Data for MnSn2I after structural relaxation.

Output
Formation energy from raw total energies in eV/atom: 0.4511
Relative energy among the computed polymorphs in meV per atom: 0.0
SG: No. 122

Cell lengths 8.824, 8.824, 8.824 Å; angles 139.04, 139.04, 59.32 degrees
Fractional coordinates of all 8 atoms:
Mn 0.000 0.000 0.000
Mn 0.750 0.250 0.500
Sn 0.010 0.625 0.885
Sn 0.375 0.260 0.385
Sn 0.740 0.125 0.115
Sn 0.875 0.990 0.615
I 0.250 0.750 0.500
I 0.500 0.500 0.000